Entry 1:
Lu4Sc2Co3N3: optimized geometry, GGA-PBE.

Computed properties:
ρ ... 9.11 Mg/m³
E_tot ... -7.192 eV/atom

Cell and atoms, written as POSCAR:
```
Lu4Sc2Co3N3
1.0
0.945 2.852 -4.778
-3.689 3.898 -1.750
7.530 7.045 9.089
Lu Co N Sc
8 6 6 4
Cartesian
5.824 7.922 7.040
2.823 4.227 1.997
0.804 1.374 -0.140
1.010 8.719 -2.362
3.776 5.076 4.922
3.982 12.421 2.701
-1.038 5.874 -4.479
1.963 9.569 0.564
0.445 3.669 1.071
-1.459 5.581 0.295
4.341 10.126 1.490
5.675 6.861 4.658
-0.889 6.934 -2.097
6.245 8.215 2.266
1.920 5.472 3.670
1.081 7.681 1.486
0.473 1.426 -2.389
-0.488 3.663 -4.494
5.274 10.133 7.054
3.705 6.115 1.075
1.817 6.323 -0.258
-0.040 3.779 -2.220
4.826 10.016 4.781
2.969 7.472 2.819
```



Entry 2:
Lu4CoSiN2: optimized geometry, GGA-PBE.

Computed properties:
ρ ... 10.13 Mg/m³
E_tot ... -6.861 eV/atom

Cell and atoms, written as POSCAR:
```
Lu4CoSiN2
1.0
3.343 0.000 0.000
-1.672 2.895 0.000
0.000 0.000 13.796
Lu Si N Co
4 1 2 1
Cartesian
0.000 0.000 9.134
1.672 0.965 11.847
0.000 0.000 4.662
1.672 0.965 1.949
1.672 0.965 6.898
0.000 1.930 3.447
0.000 1.930 10.349
0.000 0.000 0.000
```



Entry 3:
Lu2Ta4Co3N3: optimized geometry, GGA-PBE.

Computed properties:
ρ ... 13.14 Mg/m³
E_tot ... -9.349 eV/atom

Cell and atoms, written as POSCAR:
```
Lu2Ta4Co3N3
1.0
-1.098 4.878 1.951
-1.772 3.862 -3.279
-11.363 -6.677 2.763
Co N Lu Ta
6 6 4 8
Cartesian
-3.990 3.132 2.245
-4.876 4.999 0.537
-3.461 0.727 1.184
-10.772 1.337 0.251
-9.357 -2.936 0.899
-10.243 -1.068 -0.809
-13.198 -1.839 0.703
-6.230 -0.900 2.357
-7.049 0.064 -0.460
-0.886 1.931 -1.639
-1.035 3.902 0.732
-7.184 2.000 1.895
-11.434 -1.034 2.136
-8.368 -0.072 1.554
-5.865 2.136 -0.119
-2.799 3.097 -0.701
-7.231 4.937 -0.511
-5.317 -0.869 0.396
-1.439 0.287 -0.355
-3.347 6.102 -1.213
-12.794 1.777 1.791
-7.002 -2.873 1.947
-8.916 2.933 1.040
-10.886 -4.039 2.648
```